No. 1
DFT (GGA-PBE) results for a relaxed structure of Mn2CrFe.

Cell lengths 4.3301, 4.3301, 4.3107 Å; angles 99.36, 99.36, 33.38 degrees
Positions (direct):
Mn (0.0000, 0.0000, 0.0000)
Mn (0.7483, 0.7483, 0.2466)
Cr (0.2425, 0.2425, 0.7379)
Fe (0.4914, 0.4914, 0.4868)

Computed properties:
For the formation energy from the elements, the calculation gives 0.126 eV/atom.

***

No. 2
DFT (GGA-PBE) results for a relaxed structure of MnCr3Fe.

Cell lengths 4.1582, 4.1582, 4.1582 Å; angles 90.00, 90.00, 90.00 degrees
Positions (direct):
Mn (0.0000, 0.0000, 0.0000)
Cr (0.0000, 0.0000, 0.5000)
Cr (0.0000, 0.5000, 0.0000)
Cr (0.5000, 0.0000, 0.0000)
Fe (0.5000, 0.5000, 0.5000)

Computed properties:
As for the energy relative to the lowest polymorph listed for this composition: 0.0000 eV per atom. For the formation energy from the elements, the calculation gives 1.200 eV/atom.

***

No. 3
DFT (GGA-PBE) results for a relaxed structure of Mn8CrFe5.

Cell lengths 5.9552, 5.9552, 5.9552 Å; angles 105.60, 105.60, 117.54 degrees
Positions (direct):
Mn (0.0171, 0.1274, 0.8133)
Mn (0.1901, 0.3380, 0.5219)
Mn (0.3142, 0.2038, 0.1867)
Mn (0.3319, 0.8099, 0.1480)
Mn (0.6620, 0.1839, 0.8520)
Mn (0.7962, 0.9829, 0.1103)
Mn (0.8161, 0.6681, 0.4781)
Mn (0.8726, 0.6858, 0.8897)
Cr (0.7500, 0.2500, 0.5000)
Fe (0.2537, 0.0091, 0.5084)
Fe (0.2546, 0.7463, 0.7554)
Fe (0.5000, 0.5000, 0.0000)
Fe (0.5008, 0.7454, 0.4916)
Fe (0.9909, 0.4992, 0.2446)

Computed properties:
For the formation energy from the elements, the calculation gives 0.356 eV/atom.

***

No. 4
DFT (GGA-PBE) results for a relaxed structure of Mn2CrFe2.

Cell lengths 6.6733, 6.6733, 2.4801 Å; angles 90.00, 90.00, 90.00 degrees
Positions (direct):
Mn (0.1240, 0.3760, 0.0000)
Mn (0.3760, 0.8760, 0.0000)
Mn (0.6240, 0.1240, 0.0000)
Mn (0.8760, 0.6240, 0.0000)
Cr (0.0000, 0.0000, 0.0000)
Cr (0.5000, 0.5000, 0.0000)
Fe (0.1718, 0.6718, 0.5000)
Fe (0.3282, 0.1718, 0.5000)
Fe (0.6718, 0.8282, 0.5000)
Fe (0.8282, 0.3282, 0.5000)

Computed properties:
As for the energy relative to the lowest polymorph listed for this composition: 0.0051 eV per atom. For the formation energy from the elements, the calculation gives 0.228 eV/atom.

***

No. 5
DFT (GGA-PBE) results for a relaxed structure of MnCr3Fe.

Cell lengths 4.1120, 4.1120, 4.1120 Å; angles 90.00, 90.00, 90.00 degrees
Positions (direct):
Mn (0.0000, 0.0000, 0.0000)
Cr (0.0000, 0.5000, 0.5000)
Cr (0.5000, 0.0000, 0.5000)
Cr (0.5000, 0.5000, 0.0000)
Fe (0.5000, 0.5000, 0.5000)

Computed properties:
As for the energy relative to the lowest polymorph listed for this composition: 0.1899 eV per atom. For the formation energy from the elements, the calculation gives 1.390 eV/atom.

***

No. 6
DFT (GGA-PBE) results for a relaxed structure of Mn2CrFe.

Cell lengths 2.4695, 2.4695, 7.4171 Å; angles 90.00, 90.00, 96.38 degrees
Positions (direct):
Mn (0.0000, 0.0000, 0.2415)
Mn (0.0000, 0.0000, 0.7585)
Cr (0.5000, 0.5000, 0.5000)
Fe (0.5000, 0.5000, 0.0000)

Computed properties:
For the formation energy from the elements, the calculation gives 0.113 eV/atom.

***

No. 7
DFT (GGA-PBE) results for a relaxed structure of Mn2CrFe.

Cell lengths 4.3283, 4.3283, 4.3283 Å; angles 131.49, 131.49, 71.04 degrees
Positions (direct):
Mn (0.0000, 0.0000, 0.0000)
Mn (0.7500, 0.2500, 0.5000)
Cr (0.2500, 0.7500, 0.5000)
Fe (0.5000, 0.5000, 0.0000)

Computed properties:
For the formation energy from the elements, the calculation gives 0.097 eV/atom.

***

No. 8
DFT (GGA-PBE) results for a relaxed structure of Mn2CrFe.

Cell lengths 4.6857, 4.6857, 4.6857 Å; angles 144.84, 128.50, 63.89 degrees
Positions (direct):
Mn (0.2429, 0.2429, 0.0000)
Mn (0.7571, 0.7571, 0.0000)
Cr (0.0000, 0.5000, 0.5000)
Fe (0.5000, 0.0000, 0.5000)

Computed properties:
For the formation energy from the elements, the calculation gives 0.110 eV/atom.

***

No. 9
DFT (GGA-PBE) results for a relaxed structure of MnCr2Fe.

Cell lengths 3.9644, 3.9644, 2.8782 Å; angles 90.00, 90.00, 90.00 degrees
Positions (direct):
Mn (0.0000, 0.0000, 0.0000)
Cr (0.0000, 0.5000, 0.5000)
Cr (0.5000, 0.0000, 0.5000)
Fe (0.5000, 0.5000, 0.0000)

Computed properties:
As for the energy relative to the lowest polymorph listed for this composition: 0.0490 eV per atom. For the formation energy from the elements, the calculation gives 0.108 eV/atom.

***

No. 10
DFT (GGA-PBE) results for a relaxed structure of MnCr2Fe.

Cell lengths 2.5254, 3.5253, 5.0516 Å; angles 90.00, 90.00, 90.00 degrees
Positions (direct):
Mn (0.0000, 0.0000, 0.0000)
Cr (0.5000, 0.5000, 0.2512)
Cr (0.5000, 0.5000, 0.7488)
Fe (0.0000, 0.0000, 0.5000)

Computed properties:
As for the energy relative to the lowest polymorph listed for this composition: 0.1001 eV per atom. For the formation energy from the elements, the calculation gives 0.159 eV/atom.

***

No. 11
DFT (GGA-PBE) results for a relaxed structure of MnCr2Fe.

Cell lengths 2.8818, 3.9701, 3.9862 Å; angles 90.00, 90.00, 90.00 degrees
Positions (direct):
Mn (0.0000, 0.0000, 0.0000)
Cr (0.0000, 0.5000, 0.5000)
Cr (0.5000, 0.0000, 0.5000)
Fe (0.5000, 0.5000, 0.0000)

Computed properties:
As for the energy relative to the lowest polymorph listed for this composition: 0.0000 eV per atom. For the formation energy from the elements, the calculation gives 0.059 eV/atom.

***

No. 12
DFT (GGA-PBE) results for a relaxed structure of MnCr2Fe.

Cell lengths 4.6781, 4.6781, 4.6781 Å; angles 144.26, 129.93, 63.03 degrees
Positions (direct):
Mn (0.0000, 0.0000, 0.0000)
Cr (0.2474, 0.7474, 0.5000)
Cr (0.7526, 0.2526, 0.5000)
Fe (0.5000, 0.5000, 0.0000)

Computed properties:
As for the energy relative to the lowest polymorph listed for this composition: 0.0131 eV per atom. For the formation energy from the elements, the calculation gives 0.072 eV/atom.

***

No. 13
DFT (GGA-PBE) results for a relaxed structure of Mn2CrFe2.

Cell lengths 5.5770, 5.5770, 5.5770 Å; angles 144.27, 144.27, 51.42 degrees
Positions (direct):
Mn (0.2500, 0.7500, 0.5000)
Mn (0.7500, 0.2500, 0.5000)
Cr (0.0000, 0.0000, 0.0000)
Fe (0.3976, 0.3976, 0.0000)
Fe (0.6024, 0.6024, 0.0000)

Computed properties:
As for the energy relative to the lowest polymorph listed for this composition: 0.3190 eV per atom. For the formation energy from the elements, the calculation gives 0.542 eV/atom.

***

No. 14
DFT (GGA-PBE) results for a relaxed structure of MnCr2Fe.

Cell lengths 2.8622, 2.8622, 5.5884 Å; angles 90.00, 90.00, 90.00 degrees
Positions (direct):
Mn (0.0000, 0.0000, 0.0000)
Cr (0.0000, 0.0000, 0.4988)
Cr (0.5000, 0.5000, 0.2413)
Fe (0.5000, 0.5000, 0.7375)

Computed properties:
As for the energy relative to the lowest polymorph listed for this composition: 0.0144 eV per atom. For the formation energy from the elements, the calculation gives 0.074 eV/atom.

***

No. 15
DFT (GGA-PBE) results for a relaxed structure of Mn2CrFe.

Cell lengths 5.1904, 5.1904, 5.1904 Å; angles 152.36, 131.01, 57.17 degrees
Positions (direct):
Mn (0.2368, 0.2368, 0.0000)
Mn (0.7632, 0.7632, 0.0000)
Cr (0.0000, 0.0000, 0.0000)
Fe (0.5000, 0.5000, 0.0000)

Computed properties:
For the formation energy from the elements, the calculation gives 0.635 eV/atom.

***

No. 16
DFT (GGA-PBE) results for a relaxed structure of MnCrFe6.

Cell lengths 4.0156, 4.0156, 6.9368 Å; angles 106.90, 106.90, 59.96 degrees
Positions (direct):
Mn (0.0000, 0.0000, 0.0000)
Cr (0.5000, 0.5000, 0.5000)
Fe (0.1253, 0.1253, 0.3759)
Fe (0.2504, 0.2504, 0.7513)
Fe (0.3756, 0.3756, 0.1269)
Fe (0.6244, 0.6244, 0.8731)
Fe (0.7496, 0.7496, 0.2487)
Fe (0.8747, 0.8747, 0.6241)

Computed properties:
For the formation energy from the elements, the calculation gives 0.052 eV/atom.

***

No. 17
DFT (GGA-PBE) results for a relaxed structure of MnCr2Fe.

Cell lengths 4.3115, 4.3115, 2.5465 Å; angles 90.00, 90.00, 107.45 degrees
Positions (direct):
Mn (0.0000, 0.0000, 0.0000)
Cr (0.0000, 0.5000, 0.5000)
Cr (0.5000, 0.0000, 0.5000)
Fe (0.5000, 0.5000, 0.0000)

Computed properties:
As for the energy relative to the lowest polymorph listed for this composition: 0.1016 eV per atom. For the formation energy from the elements, the calculation gives 0.161 eV/atom.

***

No. 18
DFT (GGA-PBE) results for a relaxed structure of MnCr2Fe.

Cell lengths 4.6786, 4.6786, 2.4410 Å; angles 99.20, 99.20, 116.86 degrees
Positions (direct):
Mn (0.0000, 0.0000, 0.0000)
Cr (0.0000, 0.5000, 0.5000)
Cr (0.5000, 0.0000, 0.5000)
Fe (0.5000, 0.5000, 0.0000)

Computed properties:
As for the energy relative to the lowest polymorph listed for this composition: 0.0213 eV per atom. For the formation energy from the elements, the calculation gives 0.081 eV/atom.

***

No. 19
DFT (GGA-PBE) results for a relaxed structure of MnCrFe4.

Cell lengths 4.5656, 6.1501, 6.2863 Å; angles 60.73, 76.04, 89.94 degrees
Positions (direct):
Mn (0.1211, 0.2120, 0.0755)
Mn (0.8789, 0.7880, 0.9245)
Cr (0.2237, 0.4373, 0.6253)
Cr (0.7763, 0.5627, 0.3747)
Fe (0.0002, 0.1857, 0.4999)
Fe (0.9998, 0.8143, 0.5001)
Fe (0.2868, 0.6719, 0.1566)
Fe (0.4497, 0.0665, 0.7472)
Fe (0.4495, 0.6860, 0.7473)
Fe (0.5505, 0.3140, 0.2527)
Fe (0.5503, 0.9335, 0.2528)
Fe (0.7132, 0.3281, 0.8434)

Computed properties:
As for the energy relative to the lowest polymorph listed for this composition: 0.2365 eV per atom. For the formation energy from the elements, the calculation gives 0.371 eV/atom.

***

No. 20
DFT (GGA-PBE) results for a relaxed structure of MnCrFe14.

Cell lengths 4.9189, 4.9189, 8.0228 Å; angles 90.00, 90.00, 109.55 degrees
Positions (direct):
Mn (0.0000, 0.0000, 0.0000)
Cr (0.5000, 0.5000, 0.0000)
Fe (0.0000, 0.0000, 0.5000)
Fe (0.0000, 0.5000, 0.0000)
Fe (0.0000, 0.5000, 0.5000)
Fe (0.2490, 0.2490, 0.2488)
Fe (0.2490, 0.2490, 0.7512)
Fe (0.2493, 0.7507, 0.2498)
Fe (0.2493, 0.7507, 0.7502)
Fe (0.5000, 0.0000, 0.0000)
Fe (0.5000, 0.0000, 0.5000)
Fe (0.5000, 0.5000, 0.5000)
Fe (0.7507, 0.2493, 0.2498)
Fe (0.7507, 0.2493, 0.7502)
Fe (0.7510, 0.7510, 0.2488)
Fe (0.7510, 0.7510, 0.7512)

Computed properties:
For the formation energy from the elements, the calculation gives 0.020 eV/atom.